Here is FeRe2Hg after structural relaxation from Alexandria. Energies are from GGA-PBE.

* offset from the most stable computed form: 160 meV per atom
* ρ: 16.59 g/cm3
* uncorrected energy: -7.8846 eV/atom
* magnetic moment: 0.500 μB per atom
* energy of formation: 0.531 eV per atom

abc: 5.663 5.663 5.663
angles: 151.50 133.07 55.82
Last column: magnetic moment on the atom in μB.
Element x y z (fractional)
1 Hg 0.250 0.750 0.500  -0.03
2 Fe 0.750 0.250 0.500  2.06
3 Re 0.963 0.963 0.000  -0.02
4 Re 0.537 0.537 0.000  -0.02

Here is BaLaNiS4 after structural relaxation from Alexandria. Energies are from GGA-PBE.

* formation energy (no corrections): -1.390 eV per atom
* ρ: 4.87 g/cm3
* uncorrected energy: -5.5532 eV/atom
* magnetic moment: 0.000 μB per atom

abc: 6.451 6.584 8.109
angles: 90.00 113.44 90.00
Element x y z (fractional)
1 S 0.500 0.000 0.500
2 S 0.400 0.750 0.800
3 S 0.500 0.500 0.500
4 Ni 0.248 0.750 0.495
5 S 0.600 0.250 0.200
6 S 0.000 0.500 0.500
7 La 0.879 0.750 0.758
8 S 0.074 0.750 0.149
9 La 0.121 0.250 0.242
10 Ni 0.752 0.250 0.505
11 Ba 0.396 0.250 0.791
12 S 0.926 0.250 0.851
13 S 0.000 0.000 0.500
14 Ba 0.604 0.750 0.209

Here is SrReMo2 after structural relaxation from Alexandria. Energies are from GGA-PBE.

* offset from the most stable computed form: 8 meV per atom
* ρ: 8.93 g/cm3
* uncorrected energy: -8.2647 eV/atom
* magnetic moment: 0.000 μB per atom
* energy of formation: 0.683 eV per atom

abc: 4.054 3.016 7.339
angles: 74.81 90.00 90.00
Element x y z (fractional)
1 Re 0.500 0.250 0.250
2 Mo 0.000 0.977 0.090
3 Mo 0.000 0.523 0.410
4 Sr 0.500 0.750 0.750

Here is SrPtS4 after structural relaxation from Alexandria. Energies are from GGA-PBE.

* formation energy (no corrections): -0.610 eV per atom
* ρ: 5.02 g/cm3
* uncorrected energy: -4.6489 eV/atom
* magnetic moment: 0.000 μB per atom

abc: 4.997 6.932 15.699
angles: 90.00 90.00 90.00
Element x y z (fractional)
1 S 0.822 0.332 0.804
2 Pt 0.500 0.250 0.908
3 S 0.716 0.006 0.490
4 Sr 0.500 0.750 0.357
5 Pt 0.000 0.750 0.592
6 S 0.178 0.668 0.196
7 S 0.322 0.668 0.696
8 S 0.216 0.994 0.010
9 S 0.284 0.494 0.490
10 Sr 0.000 0.750 0.857
11 S 0.716 0.506 0.510
12 Pt 0.500 0.750 0.092
13 S 0.178 0.168 0.804
14 S 0.284 0.994 0.510
15 S 0.322 0.168 0.304
16 Pt 0.000 0.250 0.408
17 Sr 0.000 0.250 0.143
18 S 0.784 0.506 0.010
19 S 0.678 0.332 0.304
20 S 0.678 0.832 0.696
21 S 0.784 0.006 0.990
22 Sr 0.500 0.250 0.643
23 S 0.216 0.494 0.990
24 S 0.822 0.832 0.196

Here is CeDy2PaTc2 after structural relaxation from Alexandria. Energies are from GGA-PBE.

* ρ: 9.57 g/cm3
* uncorrected energy: -7.5926 eV/atom
* magnetic moment: 0.000 μB per atom
* energy of formation: -0.032 eV per atom

abc: 6.766 6.870 8.223
angles: 114.69 114.30 90.00
Element x y z (fractional)
1 Dy 0.308 0.095 0.616
2 Tc 0.407 0.635 0.815
3 Pa 0.250 0.500 0.000
4 Tc 0.593 0.365 0.185
5 Tc 0.093 0.821 0.185
6 Dy 0.808 0.520 0.616
7 Ce 0.750 0.000 0.000
8 Ce 0.250 0.000 0.000
9 Dy 0.692 0.905 0.384
10 Pa 0.750 0.500 0.000
11 Dy 0.192 0.480 0.384
12 Tc 0.907 0.179 0.815

Here is Be2IrPb after structural relaxation from Alexandria. Energies are from GGA-PBE.

* ρ: 9.71 g/cm3
* uncorrected energy: -4.6914 eV/atom
* magnetic moment: 0.000 μB per atom
* energy of formation: 0.314 eV per atom

abc: 4.303 4.303 8.287
angles: 74.95 74.95 90.00
Element x y z (fractional)
1 Ir 0.250 0.750 0.500
2 Be 0.374 0.625 0.250
3 Be 0.375 0.624 0.750
4 Be 0.875 0.626 0.750
5 Pb 0.750 0.250 0.500
6 Be 0.376 0.125 0.250
7 Ir 0.500 0.500 0.000
8 Pb 0.000 0.000 0.000